Record 1
Material: HgPbW2
Method: DFT, PBE
State: optimized geometry

Cell: 4.091 4.091 9.322 Å, 90.00 90.00 90.00°
Space group I4/mmm (No. 139)
Unique sites:
Hg 0.000 0.000 0.000 x2
Pb 0.000 0.000 0.500 x2
W 0.000 0.500 0.250 x4

Values from the calculation:
The energy of formation from the pure elements comes out at 479 kJ/mol of formula units. The relative energy among the computed polymorphs is 640 meV/atom.

---

Record 2
Material: HgPbW2
Method: DFT, PBE
State: optimized geometry

Cell: 3.252 4.858 4.910 Å, 90.00 90.00 90.00°
Space group Pmmm (No. 47)
Unique sites:
Hg 0.000 0.000 0.000 x1
Pb 0.500 0.000 0.500 x1
W 0.000 0.500 0.500 x1
W 0.500 0.500 0.000 x1

Values from the calculation:
The energy of formation from the pure elements comes out at 414 kJ/mol of formula units. The relative energy among the computed polymorphs is 472 meV/atom.

---

Record 3
Material: HgPbW
Method: DFT, PBE
State: optimized geometry

Cell: 5.0051 5.0051 2.9896 Å, 90.00 90.00 120.00°
Space group P-6m2 (No. 187)
Unique sites:
Hg 0.0000 0.0000 0.0000 x1
Pb 0.3333 0.6667 0.5000 x1
W 0.6667 0.3333 0.5000 x1

Values from the calculation:
The energy of formation from the pure elements comes out at 325 kJ/mol of formula units. The relative energy among the computed polymorphs is 261 meV/atom.